Entry 1:
Material: Ba2MgB2S6
Method: DFT, PBE
State: optimized geometry

```
data_Ba2MgB2S6
_cell_length_a 11.5256
_cell_length_b 6.4587
_cell_length_c 7.7660
_cell_angle_alpha 90.00
_cell_angle_beta 117.97
_cell_angle_gamma 90.00
_symmetry_space_group_name_H-M 'C 1 2/m 1'
_symmetry_Int_Tables_number 12
loop_
_symmetry_equiv_pos_as_xyz
'x,y,z'
'-x,-y,-z'
'-x,y,-z'
'x,-y,z'
'x+1/2,y+1/2,z'
'-x+1/2,-y+1/2,-z'
'-x+1/2,y+1/2,-z'
'x+1/2,-y+1/2,z'
loop_
_atom_site_label
_atom_site_type_symbol
_atom_site_fract_x
_atom_site_fract_y
_atom_site_fract_z
Ba1 Ba 0.2065 0.0000 0.2054
Mg1 Mg 0.0000 0.0000 0.5000
B1 B 0.0526 0.5000 0.2680
S1 S 0.0392 0.2568 0.7763
S2 S 0.2261 0.5000 0.3375
```

Properties
energy relative to the elements, uncorrected	-1322	kJ/mol of formula units
calculated total energy	-5.21	eV/atom
Fermi-level density of states	0.0	states/eV/cell

Entry 2:
Material: BaMgB2Se
Method: DFT, PBE
State: optimized geometry

```
data_BaMgB2Se
_cell_length_a 4.5551
_cell_length_b 4.5551
_cell_length_c 7.0857
_cell_angle_alpha 90.00
_cell_angle_beta 90.00
_cell_angle_gamma 90.00
_symmetry_space_group_name_H-M 'P 4/m m m'
_symmetry_Int_Tables_number 123
_symmetry_space_group_name_Hall '-P 4 2'
loop_
_atom_site_label
_atom_site_type_symbol
_atom_site_fract_x
_atom_site_fract_y
_atom_site_fract_z
Ba1 Ba 0.0000 0.0000 0.0000
Mg1 Mg 0.0000 0.0000 0.5000
B1 B 0.0000 0.5000 0.5000
Se1 Se 0.5000 0.5000 0.0000
```

Properties
energy relative to the elements, uncorrected	492	kJ/mol of formula units
calculated total energy	-3.05	eV/atom
Fermi-level density of states	3.3	states/eV/cell

Entry 3:
Material: BaMnB2
Method: DFT, PBE
State: optimized geometry

```
data_BaMnB2
_cell_length_a 6.3765
_cell_length_b 6.3765
_cell_length_c 6.3765
_cell_angle_alpha 90.00
_cell_angle_beta 90.00
_cell_angle_gamma 90.00
_symmetry_space_group_name_H-M 'F m -3 m'
_symmetry_Int_Tables_number 225
_symmetry_space_group_name_Hall '-F 4 2 3'
loop_
_atom_site_label
_atom_site_type_symbol
_atom_site_fract_x
_atom_site_fract_y
_atom_site_fract_z
Ba1 Ba 0.0000 0.0000 0.0000
Mn1 Mn 0.0000 0.0000 0.5000
B1 B 0.2500 0.2500 0.2500
```

Properties
formation energy from the elements	1833	meV/atom
calculated total energy	-4.28	eV/atom
Fermi-level density of states	36.2	states/eV/cell

Entry 4:
Material: BaMnB2
Method: DFT, PBE
State: optimized geometry

```
data_BaMnB2
_cell_length_a 5.4614
_cell_length_b 5.4614
_cell_length_c 10.3938
_cell_angle_alpha 90.00
_cell_angle_beta 90.00
_cell_angle_gamma 90.00
_symmetry_space_group_name_H-M 'I 41/a m d'
_symmetry_Int_Tables_number 141
loop_
_symmetry_equiv_pos_as_xyz
'x,y,z'
'-x,-y,-z'
'-y+1/4,x+3/4,z+1/4'
'y+1/4,-x+3/4,-z+1/4'
'-x+1/2,-y,z+1/2'
'x+1/2,y,-z+1/2'
'y+1/4,-x+1/4,z+3/4'
'-y+1/4,x+1/4,-z+3/4'
'x,-y,-z'
'-x,y,z'
'-y+1/4,-x+1/4,-z+3/4'
'y+1/4,x+1/4,z+3/4'
'-x+1/2,y,-z+1/2'
'x+1/2,-y,z+1/2'
'y+1/4,x+3/4,-z+1/4'
'-y+1/4,-x+3/4,z+1/4'
'x+1/2,y+1/2,z+1/2'
'-x+1/2,-y+1/2,-z+1/2'
'-y+3/4,x+1/4,z+3/4'
'y+3/4,-x+1/4,-z+3/4'
'-x,-y+1/2,z'
'x,y+1/2,-z'
'y+3/4,-x+3/4,z+1/4'
'-y+3/4,x+3/4,-z+1/4'
'x+1/2,-y+1/2,-z+1/2'
'-x+1/2,y+1/2,z+1/2'
'-y+3/4,-x+3/4,-z+1/4'
'y+3/4,x+3/4,z+1/4'
'-x,y+1/2,-z'
'x,-y+1/2,z'
'y+3/4,x+1/4,-z+3/4'
'-y+3/4,-x+1/4,z+3/4'
loop_
_atom_site_label
_atom_site_type_symbol
_atom_site_fract_x
_atom_site_fract_y
_atom_site_fract_z
Ba1 Ba 0.0000 0.2500 0.3750
Mn1 Mn 0.0000 0.2500 0.8750
B1 B 0.0000 0.0000 0.0000
```

Properties
formation energy from the elements	369	meV/atom
calculated total energy	-5.74	eV/atom
Fermi-level density of states	10.3	states/eV/cell

Entry 5:
Material: BaMn2B
Method: DFT, PBE
State: optimized geometry

```
data_BaMn2B
_cell_length_a 6.3964
_cell_length_b 6.3964
_cell_length_c 9.0927
_cell_angle_alpha 90.00
_cell_angle_beta 90.00
_cell_angle_gamma 90.00
_symmetry_space_group_name_H-M 'I 41/a m d'
_symmetry_Int_Tables_number 141
loop_
_symmetry_equiv_pos_as_xyz
'x,y,z'
'-x,-y,-z'
'-y+1/4,x+3/4,z+1/4'
'y+1/4,-x+3/4,-z+1/4'
'-x+1/2,-y,z+1/2'
'x+1/2,y,-z+1/2'
'y+1/4,-x+1/4,z+3/4'
'-y+1/4,x+1/4,-z+3/4'
'x,-y,-z'
'-x,y,z'
'-y+1/4,-x+1/4,-z+3/4'
'y+1/4,x+1/4,z+3/4'
'-x+1/2,y,-z+1/2'
'x+1/2,-y,z+1/2'
'y+1/4,x+3/4,-z+1/4'
'-y+1/4,-x+3/4,z+1/4'
'x+1/2,y+1/2,z+1/2'
'-x+1/2,-y+1/2,-z+1/2'
'-y+3/4,x+1/4,z+3/4'
'y+3/4,-x+1/4,-z+3/4'
'-x,-y+1/2,z'
'x,y+1/2,-z'
'y+3/4,-x+3/4,z+1/4'
'-y+3/4,x+3/4,-z+1/4'
'x+1/2,-y+1/2,-z+1/2'
'-x+1/2,y+1/2,z+1/2'
'-y+3/4,-x+3/4,-z+1/4'
'y+3/4,x+3/4,z+1/4'
'-x,y+1/2,-z'
'x,-y+1/2,z'
'y+3/4,x+1/4,-z+3/4'
'-y+3/4,-x+1/4,z+3/4'
loop_
_atom_site_label
_atom_site_type_symbol
_atom_site_fract_x
_atom_site_fract_y
_atom_site_fract_z
Ba1 Ba 0.0000 0.2500 0.3750
Mn1 Mn 0.0000 0.0000 0.0000
B1 B 0.0000 0.2500 0.8750
```

Properties
formation energy from the elements	532	meV/atom
calculated total energy	-6.20	eV/atom
Fermi-level density of states	9.2	states/eV/cell

Entry 6:
Material: BaMn2NbB
Method: DFT, PBE
State: optimized geometry

```
data_BaMn2NbB
_cell_length_a 4.7089
_cell_length_b 4.7089
_cell_length_c 6.3881
_cell_angle_alpha 90.00
_cell_angle_beta 90.00
_cell_angle_gamma 90.00
_symmetry_space_group_name_H-M 'P 4/m m m'
_symmetry_Int_Tables_number 123
_symmetry_space_group_name_Hall '-P 4 2'
loop_
_atom_site_label
_atom_site_type_symbol
_atom_site_fract_x
_atom_site_fract_y
_atom_site_fract_z
Ba1 Ba 0.0000 0.0000 0.0000
Mn1 Mn 0.0000 0.5000 0.5000
Nb1 Nb 0.0000 0.0000 0.5000
B1 B 0.5000 0.5000 0.0000
```

Properties
formation energy from the elements	1859	meV/atom
calculated total energy	-5.54	eV/atom
Fermi-level density of states	5.2	states/eV/cell

- What is the formula in the sixth record?
  BaMn2NbB